## AcAgMoO5 (PBE with a Hubbard U)

Data for AcAgMoO5 after structural relaxation.

a = 6.6442 Å, b = 6.6442 Å, c = 9.0636 Å
α = 110.28°, β = 110.28°, γ = 90.65°
Last column: nearest neighbours and their distance in Å.
Fractional positions:
O: 0.9192 0.0808 0.7500  1 Ag 2.11
O: 0.2611 0.7414 0.9102  1 Mo 1.79
O: 0.7389 0.2586 0.0898  1 Mo 1.79
O: 0.7414 0.2611 0.4102  1 Mo 1.79
O: 0.3358 0.3010 0.1584  1 Mo 1.81
O: 0.2586 0.7389 0.5898  1 Mo 1.79
O: 0.6642 0.6990 0.8416  1 Mo 1.81
O: 0.6990 0.6642 0.3416  1 Mo 1.81
O: 0.0808 0.9192 0.2500  1 Ag 2.11
O: 0.3010 0.3358 0.6584  1 Mo 1.81
Ac: 0.0000 0.0000 0.0000  6 O 2.39-2.59
Ac: 0.0000 0.0000 0.5000  6 O 2.39-2.59
Mo: 0.3711 0.6289 0.7500  4 O 1.79-1.81
Mo: 0.6289 0.3711 0.2500  4 O 1.79-1.81
Ag: 0.6962 0.3038 0.7500  1 O 2.11
Ag: 0.3038 0.6962 0.2500  1 O 2.11

Summary:
Size of the total moment, Bohr magnetons per cell: 0.000
Energy, eV/atom: -6.75